(1)
Computed, not measured: an optimized crystal structure of Tb2Tl2Zn at the GGA-PBE level of DFT.

a b c (Å): 4.651 6.098 10.126
angles (deg): 88.83 76.72 67.58
Fractional positions:
Tb1 0.682 0.305 0.332
Tb2 0.921 0.258 0.900
Tb3 0.318 0.695 0.668
Tb4 0.079 0.742 0.100
Tl1 0.093 0.255 0.559
Tl2 0.654 0.811 0.881
Tl3 0.907 0.745 0.441
Tl4 0.346 0.189 0.119
Zn1 0.597 0.126 0.681
Zn2 0.403 0.874 0.319

DOS(E_F): 7.26 states/eV/cell
ΔH_f (0 K): -1.50 eV/f.u.
Space-group type: C2/m

(2)
Computed, not measured: an optimized crystal structure of Pr2Al3HgAu4 at the GGA-PBE level of DFT.

a b c (Å): 4.476 4.476 10.822
angles (deg): 90.00 90.00 90.00
Fractional positions:
Pr1 0.500 0.000 0.245
Pr2 0.000 0.500 0.755
Al1 0.000 0.000 0.500
Al2 0.500 0.000 0.878
Al3 0.000 0.500 0.122
Hg1 0.500 0.500 0.500
Au1 0.500 0.500 0.000
Au2 0.000 0.000 0.000
Au3 0.500 0.000 0.650
Au4 0.000 0.500 0.350

DOS(E_F): 6.10 states/eV/cell
ΔH_f (0 K): -6.22 eV/f.u.
Space-group type: P-4m2

(3)
Computed, not measured: an optimized crystal structure of SbTe2Pt at the GGA-PBE level of DFT.

a b c (Å): 9.287 9.287 9.287
angles (deg): 24.69 24.69 24.69
Fractional positions:
Sb1 0.000 0.000 0.000
Te1 0.887 0.887 0.887
Te2 0.113 0.113 0.113
Pt1 0.500 0.500 0.500

DOS(E_F): 3.01 states/eV/cell
Formation energy from raw total energies: -52 meV/atom
Space-group type: R-3m

(4)
Computed, not measured: an optimized crystal structure of Pm5Nd2SmIn at the GGA-PBE level of DFT.

a b c (Å): 5.558 10.489 10.877
angles (deg): 90.00 90.00 105.36
Fractional positions:
Pm1 0.383 0.766 0.008
Pm2 0.710 0.419 0.809
Pm3 0.500 0.000 0.758
Pm4 0.290 0.581 0.707
Pm5 0.987 0.974 0.508
Pm6 0.617 0.234 0.508
Pm7 0.290 0.581 0.309
Pm8 0.500 0.000 0.258
Pm9 0.710 0.419 0.207
Pm10 0.013 0.026 0.008
Nd1 0.884 0.767 0.804
Nd2 0.116 0.233 0.713
Nd3 0.116 0.233 0.304
Nd4 0.884 0.767 0.213
Sm1 0.799 0.598 0.508
Sm2 0.201 0.402 0.008
In1 0.594 0.187 0.008
In2 0.406 0.813 0.508

DOS(E_F): 26.57 states/eV/cell
ΔH_f (0 K): -0.16 eV/f.u.
Space-group type: Cmcm

> Look up the DOS(E_F) of the third one.

3.01 states/eV/cell